# 1
A plane-wave DFT calculation with PBE was carried out for a relaxed PuZrCl5 crystal.

a b c (Å): 3.544 8.137 13.661
angles (deg): 89.20 90.00 90.00
Element x y z (fractional)
Cl1 0.250 0.037 0.295
Cl2 0.250 0.346 0.130
Cl3 0.250 0.839 0.068
Cl4 0.750 0.283 0.452
Pu1 0.750 0.079 0.137
Cl5 0.250 0.717 0.548
Cl6 0.750 0.654 0.870
Cl7 0.750 0.963 0.705
Cl8 0.750 0.161 0.932
Cl9 0.750 0.582 0.292
Pu2 0.250 0.921 0.863
Cl10 0.250 0.418 0.708
Zr1 0.250 0.353 0.319
Zr2 0.750 0.647 0.681

Calculated values
Crystal system: monoclinic
Space-group type: P2_1/m

# 2
A plane-wave DFT calculation with PBE was carried out for a relaxed AcAl8ZnAu2 crystal.

a b c (Å): 5.585 5.585 11.355
angles (deg): 55.62 55.62 59.10
Element x y z (fractional)
Ac1 0.000 0.000 0.500
Al1 0.213 0.707 0.222
Al2 0.689 0.689 0.494
Zn1 0.000 0.000 0.000
Al3 0.692 0.692 0.909
Al4 0.707 0.213 0.222
Al5 0.308 0.308 0.091
Au1 0.663 0.663 0.269
Al6 0.293 0.787 0.778
Au2 0.337 0.337 0.731
Al7 0.311 0.311 0.506
Al8 0.787 0.293 0.778

Calculated values
Crystal system: monoclinic
Formation energy, eV per atom: -0.155
Space-group type: C2/m

# 3
A plane-wave DFT calculation with PBE was carried out for a relaxed CsSrGaF6 crystal.

a b c (Å): 6.018 6.018 6.140
angles (deg): 90.02 89.98 59.95
Element x y z (fractional)
F1 0.589 0.059 0.320
F2 0.352 0.060 0.680
Cs1 0.000 0.000 0.000
F3 0.060 0.352 0.320
Sr1 0.667 0.667 0.500
F4 0.059 0.589 0.680
F5 0.588 0.352 0.680
F6 0.352 0.588 0.320
Ga1 0.333 0.333 0.500

Calculated values
Crystal system: trigonal
Space-group type: P312

| no. | raw total energy (eV/cell) | Fermi-level density of states (states/eV/f.u.) |
| --- | --- | --- |
| 1 | -88.787 | 9.4 |
| 2 | -43.743 | 3.4 |
| 3 | -44.982 | 0.0 |